Model i:
# GGA-PBE Ca2TlCdNi, relaxed
# - Magnetic moment: 0.000 μB/atom
# - Density: 5.3 g cm⁻³
# - Symmetry: P4/mmm
data_Ca2TlCdNi
_symmetry_space_group_name_H-M 'P 1'
_symmetry_Int_Tables_number 1
_cell_length_a 5.347
_cell_length_b 5.347
_cell_length_c 4.983
_cell_angle_alpha 90.00
_cell_angle_beta 90.00
_cell_angle_gamma 90.00
loop_
_symmetry_equiv_pos_as_xyz
'x,y,z'
loop_
_atom_site_label
_atom_site_type_symbol
_atom_site_fract_x
_atom_site_fract_y
_atom_site_fract_z
Ca1 Ca 0.500 0.000 0.000
Ca2 Ca 0.000 0.500 0.000
Tl1 Tl 0.500 0.500 0.500
Ni1 Ni 0.000 0.000 0.000
Cd1 Cd 0.000 0.000 0.500


Model ii:
# GGA-PBE Ca2TlCdNi, relaxed
# - Magnetic moment: 0.000 μB/atom
# - Density: 5.3 g cm⁻³
# - Symmetry: P4/mmm
data_Ca2TlCdNi
_symmetry_space_group_name_H-M 'P 1'
_symmetry_Int_Tables_number 1
_cell_length_a 5.360
_cell_length_b 5.360
_cell_length_c 4.984
_cell_angle_alpha 90.00
_cell_angle_beta 90.00
_cell_angle_gamma 90.00
loop_
_symmetry_equiv_pos_as_xyz
'x,y,z'
loop_
_atom_site_label
_atom_site_type_symbol
_atom_site_fract_x
_atom_site_fract_y
_atom_site_fract_z
Cd1 Cd 0.500 0.500 0.500
Ni1 Ni 0.000 0.000 0.000
Tl1 Tl 0.000 0.000 0.500
Ca1 Ca 0.000 0.500 0.000
Ca2 Ca 0.500 0.000 0.000


Stability summary: most stable model ii, least stable model i.


Model i:
# GGA-PBE CaCdP2O, relaxed
# - Magnetic moment: 0.351 μB/atom
# - Density: 3.5 g cm⁻³
# - Symmetry: P4/mmm
data_CaCdP2O
_symmetry_space_group_name_H-M 'P 1'
_symmetry_Int_Tables_number 1
_cell_length_a 5.062
_cell_length_b 5.062
_cell_length_c 4.232
_cell_angle_alpha 90.00
_cell_angle_beta 90.00
_cell_angle_gamma 90.00
loop_
_symmetry_equiv_pos_as_xyz
'x,y,z'
loop_
_atom_site_label
_atom_site_type_symbol
_atom_site_fract_x
_atom_site_fract_y
_atom_site_fract_z
P1 P 0.500 0.000 0.000
P2 P 0.000 0.500 0.000
O1 O 0.000 0.000 0.500
Ca1 Ca 0.500 0.500 0.500
Cd1 Cd 0.000 0.000 0.000


Model ii:
# GGA-PBE CaCdP2O, relaxed
# - Magnetic moment: 0.330 μB/atom
# - Density: 3.1 g cm⁻³
# - Symmetry: P4/mmm
data_CaCdP2O
_symmetry_space_group_name_H-M 'P 1'
_symmetry_Int_Tables_number 1
_cell_length_a 5.361
_cell_length_b 5.361
_cell_length_c 4.230
_cell_angle_alpha 90.00
_cell_angle_beta 90.00
_cell_angle_gamma 90.00
loop_
_symmetry_equiv_pos_as_xyz
'x,y,z'
loop_
_atom_site_label
_atom_site_type_symbol
_atom_site_fract_x
_atom_site_fract_y
_atom_site_fract_z
O1 O 0.000 0.000 0.500
Cd1 Cd 0.500 0.500 0.500
Ca1 Ca 0.000 0.000 0.000
P1 P 0.500 0.000 0.000
P2 P 0.000 0.500 0.000


Stability summary: most stable model i, least stable model ii.